Record 1
A plane-wave DFT calculation with PBE was carried out for an optimized crystal structure of KMgSi2.

Computed properties:
Its crystal system is orthorhombic.

a b c (Å): 6.0385 9.7525 2.8273
angles (deg): 90.00 90.00 90.00
Space group Cmmm (No. 65)
Unique sites:
K  0.0000  0.0000  0.0000 x2
Mg  0.0000  0.5000  0.0000 x2
Si  0.2500  0.2500  0.5000 x4

Record 2
A plane-wave DFT calculation with PBE was carried out for an optimized crystal structure of KMgSi2.

Computed properties:
Its crystal system is monoclinic.

a b c (Å): 7.7691 3.7714 7.8506
angles (deg): 90.00 104.08 90.00
Space group Cm (No. 8)
Unique sites:
K  0.0000  0.0000  0.0000 x2
Mg  0.1894  0.0000  0.5801 x2
Si  0.2640  0.5000  0.3243 x2
Si  0.4549  0.0000  0.3830 x2

Record 3
A plane-wave DFT calculation with PBE was carried out for an optimized crystal structure of K2MgSi.

Computed properties:
Its crystal system is tetragonal.

a b c (Å): 4.7606 4.7606 10.9181
angles (deg): 90.00 90.00 90.00
Space group I4/mmm (No. 139)
Unique sites:
K  0.0000  0.5000  0.2500 x4
Mg  0.0000  0.0000  0.0000 x2
Si  0.0000  0.0000  0.5000 x2

Record 4
A plane-wave DFT calculation with PBE was carried out for an optimized crystal structure of K2MgSi.

Computed properties:
Its crystal system is orthorhombic.

a b c (Å): 4.7796 5.7684 11.5605
angles (deg): 90.00 90.00 90.00
Space group Amm2 (No. 38)
Unique sites:
K  0.0000  0.0000  0.0000 x2
K  0.5000  0.0000  0.2980 x2
Mg  0.0000  0.0000  0.6748 x2
Si  0.5000  0.0000  0.6054 x2

Record 5
A plane-wave DFT calculation with PBE was carried out for an optimized crystal structure of KMgSi2.

Computed properties:
Its crystal system is tetragonal.

a b c (Å): 3.0421 3.0421 9.1284
angles (deg): 90.00 90.00 90.00
Space group P4/mmm (No. 123)
Unique sites:
K  0.0000  0.0000  0.0000 x1
Mg  0.0000  0.0000  0.5000 x1
Si  0.5000  0.5000  0.2931 x2

Record 6
A plane-wave DFT calculation with PBE was carried out for an optimized crystal structure of K2MgSi.

Computed properties:
Its crystal system is orthorhombic.

a b c (Å): 4.7160 6.1484 9.8868
angles (deg): 90.00 90.00 90.00
Space group Imm2 (No. 44)
Unique sites:
K  0.0000  0.0000  0.0000 x2
K  0.0000  0.5000  0.1869 x2
Mg  0.0000  0.5000  0.8028 x2
Si  0.0000  0.0000  0.4018 x2

Sequential E output: -2.94 -3.20 -1.90 -2.15 -3.11 -2.18 eV per atom
Sequential M_tot output: 0.000 0.000 0.000 0.000 0.000 0.000 μB/f.u.